# Sn2GeB

An optimized crystal structure of Sn2GeB (PBE, Alexandria via LeMat-Bulk).

POSCAR file:
```
Sn2GeB
1.0
5.7876 0.0000 0.0000
0.0000 5.7876 0.0000
2.8938 2.8938 5.6284
B Sn Ge
2 4 2
Direct
0.2500 0.7500 0.5000
0.5000 0.5000 0.0000
0.8750 0.8173 0.7500
0.3750 0.4327 0.7500
0.1827 0.6250 0.2500
0.5673 0.1250 0.2500
0.7500 0.2500 0.5000
0.0000 0.0000 0.0000
```

Results
relative energy among the computed polymorphs: 0.000 eV per atom
calculated formation energy: 375 meV/atom

---

# Sn3GeB

An optimized crystal structure of Sn3GeB (PBE, Alexandria via LeMat-Bulk).

POSCAR file:
```
Sn3GeB
1.0
4.8412 0.0000 0.0000
0.0000 4.8412 0.0000
0.0000 0.0000 4.8412
Sn B Ge
3 1 1
Direct
0.5000 0.0000 0.0000
0.0000 0.5000 0.0000
0.0000 0.0000 0.5000
0.0000 0.0000 0.0000
0.5000 0.5000 0.5000
```

Results
relative energy among the computed polymorphs: 0.000 eV per atom
calculated formation energy: 596 meV/atom

---

# SnGe2B

An optimized crystal structure of SnGe2B (PBE, Alexandria via LeMat-Bulk).

POSCAR file:
```
SnGe2B
1.0
0.0000 3.3433 3.3433
3.3433 0.0000 3.3433
3.3433 3.3433 0.0000
Ge Sn B
2 1 1
Direct
0.7500 0.7500 0.7500
0.2500 0.2500 0.2500
0.5000 0.5000 0.5000
0.0000 0.0000 0.0000
```

Results
relative energy among the computed polymorphs: 0.760 eV per atom
calculated formation energy: 1056 meV/atom

---

# SnGeB3

An optimized crystal structure of SnGeB3 (PBE, Alexandria via LeMat-Bulk).

POSCAR file:
```
SnGeB3
1.0
-2.1575 -0.1160 -3.9474
-3.5761 -1.8509 2.0089
-1.6754 4.1001 0.7952
Ge Sn B
1 1 3
Direct
0.5000 0.5000 0.5000
0.0000 0.0000 0.0000
0.0000 0.0000 0.5000
0.0000 0.5000 0.0000
0.5000 0.0000 0.0000
```

Results
relative energy among the computed polymorphs: 0.510 eV per atom
calculated formation energy: 2227 meV/atom

---

# SnGe2B

An optimized crystal structure of SnGe2B (PBE, Alexandria via LeMat-Bulk).

POSCAR file:
```
SnGe2B
1.0
-2.4109 -4.9819 -0.6334
3.1797 -0.9704 -4.4701
4.0787 -5.1583 0.5498
Ge B Sn
4 2 2
Direct
0.5363 0.1250 0.2500
0.8750 0.7863 0.7500
0.3750 0.4637 0.7500
0.2137 0.6250 0.2500
0.5000 0.5000 0.0000
0.2500 0.7500 0.5000
0.0000 0.0000 0.0000
0.7500 0.2500 0.5000
```

Results
relative energy among the computed polymorphs: 0.000 eV per atom
calculated formation energy: 295 meV/atom

---

# VSnGeB2

An optimized crystal structure of VSnGeB2 (PBE, Alexandria via LeMat-Bulk).

POSCAR file:
```
VSnGeB2
1.0
-1.9946 -2.4680 2.8517
4.4815 -2.8351 0.6809
1.1979 2.6444 3.1264
Ge V B Sn
1 1 2 1
Direct
0.5000 0.5000 0.5000
0.0000 0.5000 0.0000
0.0000 0.0000 0.5000
0.5000 0.0000 0.0000
0.0000 0.0000 0.0000
```

Results
calculated formation energy: 1995 meV/atom

---

# SnGeB2W

An optimized crystal structure of SnGeB2W (PBE, Alexandria via LeMat-Bulk).

POSCAR file:
```
SnGeB2W
1.0
4.3173 0.0000 0.0000
0.0000 4.9372 0.0000
0.0000 0.0000 4.3173
Sn W B Ge
1 1 2 1
Direct
0.5000 0.5000 0.5000
0.0000 0.0000 0.0000
0.5000 0.0000 0.0000
0.0000 0.0000 0.5000
0.0000 0.5000 0.0000
```

Results
calculated formation energy: 1019 meV/atom

---

# SrGe2B

An optimized crystal structure of SrGe2B (PBE, Alexandria via LeMat-Bulk).

POSCAR file:
```
SrGe2B
1.0
-4.9888 0.0722 -1.1112
-0.7412 -4.0220 3.0663
-4.0046 2.3496 6.3745
Sr B Ge
2 2 4
Direct
0.0000 0.0000 0.0000
0.7500 0.2500 0.5000
0.2500 0.7500 0.5000
0.5000 0.5000 0.0000
0.3750 0.5422 0.7500
0.8750 0.7078 0.7500
0.4578 0.1250 0.2500
0.2922 0.6250 0.2500
```

Results
calculated formation energy: 203 meV/atom

---

It is found that the total DFT energy (no corrections) values, taken in the order of the records, are -4.450 -4.064 -3.923 -3.503 -4.683 -4.224 -5.966 -4.195 eV/atom.